[1]
KRh: optimized geometry, GGA-PBE.

extended XYZ file:
```
4
Lattice="2.937 0.000 0.000 -1.468 2.543 0.000 0.000 0.000 10.941" Properties=species:S:1:pos:R:3 pbc="T T T"
K 0.000 0.000 0.000
K 0.000 0.000 5.470
Rh 1.468 0.848 8.205
Rh 0.000 1.695 2.735
```

Calculated values
Space group   P6_3/mmc (194)
Relative energy among the computed polymorphs   0.84 eV/f.u.

[2]
LaMgTcO6: optimized geometry, GGA-PBE.

extended XYZ file:
```
9
Lattice="5.248 0.000 0.000 2.624 4.545 0.000 0.000 0.000 5.131" Properties=species:S:1:pos:R:3 pbc="T T T"
Mg 5.248 3.030 2.565
O 1.064 1.621 1.481
O 1.936 0.111 3.650
O 1.752 2.813 3.650
O 3.496 2.813 1.481
O 4.184 1.621 3.650
O 3.312 0.111 1.481
La 5.248 0.000 5.131
Tc 2.624 1.515 2.565
```

Calculated values
ΔE_f (raw)   -19.8 eV/f.u.
Space group   P312 (149)